<1>
DFT (GGA-PBE) results for an optimized crystal structure of NaThI4.

Magnetization, μB/f.u.: 1.01
Symmetry: I-4

a b c (Å): 8.855 8.855 8.855
angles (deg): 133.25 133.25 68.26
Fractional coordinates of all 6 atoms:
Na  0.000  0.000  0.000
Th  0.750  0.250  0.500
I  0.127  0.607  0.976
I  0.393  0.369  0.520
I  0.631  0.151  0.024
I  0.849  0.873  0.480

<2>
DFT (GGA-PBE) results for an optimized crystal structure of NaThI4.

Magnetization, μB/f.u.: 0.00
Symmetry: P2/m

a b c (Å): 8.029 4.131 8.208
angles (deg): 90.00 90.86 90.00
Fractional coordinates of all 6 atoms:
Na  0.000  0.000  0.000
Th  0.000  0.500  0.500
I  0.227  0.500  0.810
I  0.245  0.000  0.329
I  0.755  0.000  0.671
I  0.773  0.500  0.190

Verdict on stability: <1> comes out at the bottom.

<1>
DFT (GGA-PBE) results for an optimized crystal structure of Na2ThI6.

Magnetization, μB/f.u.: 0.00
Symmetry: P2_1/c

a b c (Å): 8.007 7.557 15.786
angles (deg): 90.00 120.43 90.00
Fractional coordinates of all 18 atoms:
Na  0.172  0.001  0.173
Na  0.172  0.499  0.673
Na  0.828  0.501  0.327
Na  0.828  0.999  0.827
Th  0.500  0.000  0.000
Th  0.500  0.500  0.500
I  0.179  0.737  0.341
I  0.179  0.763  0.841
I  0.184  0.233  0.000
I  0.184  0.267  0.500
I  0.499  0.733  0.660
I  0.499  0.767  0.160
I  0.501  0.233  0.840
I  0.501  0.267  0.340
I  0.816  0.733  0.500
I  0.816  0.767  0.000
I  0.821  0.237  0.159
I  0.821  0.263  0.659

<2>
DFT (GGA-PBE) results for an optimized crystal structure of Na2ThI6.

Magnetization, μB/f.u.: 0.00
Symmetry: P4_2/mnm

a b c (Å): 7.629 7.629 14.071
angles (deg): 90.00 90.00 90.00
Fractional coordinates of all 18 atoms:
Na  0.000  0.000  0.166
Na  0.000  0.000  0.834
Na  0.500  0.500  0.334
Na  0.500  0.500  0.666
Th  0.000  0.000  0.500
Th  0.500  0.500  0.000
I  0.197  0.197  0.341
I  0.197  0.197  0.659
I  0.213  0.213  0.000
I  0.287  0.713  0.500
I  0.303  0.697  0.159
I  0.303  0.697  0.841
I  0.697  0.303  0.159
I  0.697  0.303  0.841
I  0.713  0.287  0.500
I  0.787  0.787  0.000
I  0.803  0.803  0.341
I  0.803  0.803  0.659

Verdict on stability: <2> comes out at the bottom.

<1>
DFT (GGA-PBE) results for an optimized crystal structure of NaTi3I.

Magnetization, μB/f.u.: 1.95
Symmetry: Pm-3m

a b c (Å): 4.890 4.890 4.890
angles (deg): 90.00 90.00 90.00
Fractional coordinates of all 5 atoms:
Na  0.000  0.000  0.000
Ti  0.000  0.000  0.500
Ti  0.000  0.500  0.000
Ti  0.500  0.000  0.000
I  0.500  0.500  0.500

<2>
DFT (GGA-PBE) results for an optimized crystal structure of NaTi3I.

Magnetization, μB/f.u.: 1.59
Symmetry: Pm-3m

a b c (Å): 5.080 5.080 5.080
angles (deg): 90.00 90.00 90.00
Fractional coordinates of all 5 atoms:
Na  0.000  0.000  0.000
Ti  0.000  0.500  0.500
Ti  0.500  0.000  0.500
Ti  0.500  0.500  0.000
I  0.500  0.500  0.500

Verdict on stability: <1> comes out at the bottom.

<1>
DFT (GGA-PBE) results for an optimized crystal structure of NaTl2I4.

Magnetization, μB/f.u.: 0.00
Symmetry: P-42m

a b c (Å): 8.228 8.228 4.928
angles (deg): 90.00 90.00 90.00
Fractional coordinates of all 7 atoms:
Na  0.000  0.000  0.000
Tl  0.000  0.500  0.500
Tl  0.500  0.000  0.500
I  0.248  0.248  0.224
I  0.248  0.752  0.776
I  0.752  0.248  0.776
I  0.752  0.752  0.224

<2>
DFT (GGA-PBE) results for an optimized crystal structure of NaTl2I4.

Magnetization, μB/f.u.: 0.00
Symmetry: I4/mmm

a b c (Å): 9.321 9.321 9.321
angles (deg): 141.59 141.59 55.45
Fractional coordinates of all 7 atoms:
Na  0.000  0.000  0.000
Tl  0.383  0.383  0.000
Tl  0.617  0.617  0.000
I  0.000  0.500  0.500
I  0.192  0.192  0.000
I  0.500  0.000  0.500
I  0.808  0.808  0.000

Verdict on stability: <2> comes out at the bottom.

<1>
DFT (GGA-PBE) results for an optimized crystal structure of Na3TlI.

Magnetization, μB/f.u.: 0.00
Symmetry: Pm-3m

a b c (Å): 5.972 5.972 5.972
angles (deg): 90.00 90.00 90.00
Fractional coordinates of all 5 atoms:
Na  0.000  0.000  0.500
Na  0.000  0.500  0.000
Na  0.500  0.000  0.000
Tl  0.500  0.500  0.500
I  0.000  0.000  0.000

<2>
DFT (GGA-PBE) results for an optimized crystal structure of Na3TlI.

Magnetization, μB/f.u.: 0.00
Symmetry: Pm-3m

a b c (Å): 5.986 5.986 5.986
angles (deg): 90.00 90.00 90.00
Fractional coordinates of all 5 atoms:
Na  0.000  0.000  0.500
Na  0.000  0.500  0.000
Na  0.500  0.000  0.000
Tl  0.000  0.000  0.000
I  0.500  0.500  0.500

Verdict on stability: <2> comes out at the bottom.

<1>
DFT (GGA-PBE) results for an optimized crystal structure of Na2TlI3.

Magnetization, μB/f.u.: 0.00
Symmetry: Cmcm

a b c (Å): 9.448 9.448 7.463
angles (deg): 90.00 90.00 114.99
Fractional coordinates of all 12 atoms:
Na  0.184  0.184  0.000
Na  0.184  0.184  0.500
Na  0.816  0.816  0.000
Na  0.816  0.816  0.500
Tl  0.243  0.757  0.750
Tl  0.757  0.243  0.250
I  0.104  0.896  0.250
I  0.144  0.417  0.250
I  0.417  0.144  0.750
I  0.583  0.856  0.250
I  0.856  0.583  0.750
I  0.896  0.104  0.750

<2>
DFT (GGA-PBE) results for an optimized crystal structure of Na2TlI3.

Magnetization, μB/f.u.: 0.00
Symmetry: P2_1/c

a b c (Å): 6.797 14.228 9.539
angles (deg): 90.00 90.01 90.00
Fractional coordinates of all 24 atoms:
Na  0.249  0.241  0.376
Na  0.249  0.259  0.876
Na  0.250  0.586  0.382
Na  0.250  0.914  0.882
Na  0.750  0.086  0.118
Na  0.750  0.414  0.618
Na  0.751  0.741  0.124
Na  0.751  0.759  0.624
Tl  0.251  0.577  0.873
Tl  0.251  0.923  0.373
Tl  0.749  0.077  0.627
Tl  0.749  0.423  0.127
I  0.249  0.092  0.645
I  0.249  0.408  0.145
I  0.250  0.093  0.109
I  0.250  0.407  0.609
I  0.251  0.745  0.130
I  0.251  0.755  0.630
I  0.749  0.245  0.370
I  0.749  0.255  0.870
I  0.750  0.593  0.391
I  0.750  0.907  0.891
I  0.751  0.592  0.855
I  0.751  0.908  0.355

Verdict on stability: <1> comes out at the bottom.

<1>
DFT (GGA-PBE) results for an optimized crystal structure of Na2TlI2.

Magnetization, μB/f.u.: 0.00
Symmetry: P4/mbm

a b c (Å): 9.197 9.197 4.120
angles (deg): 90.00 90.00 90.00
Fractional coordinates of all 10 atoms:
Na  0.152  0.348  0.000
Na  0.348  0.848  0.000
Na  0.652  0.152  0.000
Na  0.848  0.652  0.000
Tl  0.000  0.000  0.500
Tl  0.500  0.500  0.500
I  0.152  0.652  0.500
I  0.348  0.152  0.500
I  0.652  0.848  0.500
I  0.848  0.348  0.500

<2>
DFT (GGA-PBE) results for an optimized crystal structure of Na2TlI2.

Magnetization, μB/f.u.: 0.93
Symmetry: I4/mmm

a b c (Å): 8.245 8.245 8.245
angles (deg): 142.37 142.37 54.26
Fractional coordinates of all 5 atoms:
Na  0.250  0.750  0.500
Na  0.750  0.250  0.500
Tl  0.000  0.000  0.000
I  0.361  0.361  0.000
I  0.639  0.639  0.000

Verdict on stability: <2> comes out at the bottom.

<1>
DFT (GGA-PBE) results for an optimized crystal structure of NaTl3I.

Magnetization, μB/f.u.: 0.00
Symmetry: Pm-3m

a b c (Å): 6.434 6.434 6.434
angles (deg): 90.00 90.00 90.00
Fractional coordinates of all 5 atoms:
Na  0.000  0.000  0.000
Tl  0.000  0.500  0.500
Tl  0.500  0.000  0.500
Tl  0.500  0.500  0.000
I  0.500  0.500  0.500

<2>
DFT (GGA-PBE) results for an optimized crystal structure of NaTl3I.

Magnetization, μB/f.u.: 0.00
Symmetry: Pm-3m

a b c (Å): 5.827 5.827 5.827
angles (deg): 90.00 90.00 90.00
Fractional coordinates of all 5 atoms:
Na  0.000  0.000  0.000
Tl  0.000  0.000  0.500
Tl  0.000  0.500  0.000
Tl  0.500  0.000  0.000
I  0.500  0.500  0.500

Verdict on stability: <1> comes out at the bottom.

<1>
DFT (GGA-PBE) results for an optimized crystal structure of NaTl2I2.

Magnetization, μB/f.u.: 0.00
Symmetry: I4/mmm

a b c (Å): 10.190 10.190 10.190
angles (deg): 154.75 154.75 36.02
Fractional coordinates of all 5 atoms:
Na  0.000  0.000  0.000
Tl  0.250  0.750  0.500
Tl  0.750  0.250  0.500
I  0.401  0.401  0.000
I  0.599  0.599  0.000

<2>
DFT (GGA-PBE) results for an optimized crystal structure of NaTl2I2.

Magnetization, μB/f.u.: 0.00
Symmetry: P4/mbm

a b c (Å): 8.406 8.406 5.514
angles (deg): 90.00 90.00 90.00
Fractional coordinates of all 10 atoms:
Na  0.000  0.000  0.000
Na  0.500  0.500  0.000
Tl  0.148  0.352  0.500
Tl  0.352  0.852  0.500
Tl  0.648  0.148  0.500
Tl  0.852  0.648  0.500
I  0.173  0.673  0.000
I  0.327  0.173  0.000
I  0.673  0.827  0.000
I  0.827  0.327  0.000

Verdict on stability: <2> comes out at the bottom.

<1>
DFT (GGA-PBE) results for an optimized crystal structure of Na2TmI5.

Magnetization, μB/f.u.: 0.00
Symmetry: C2/c

a b c (Å): 8.755 8.755 11.259
angles (deg): 108.55 108.55 54.62
Fractional coordinates of all 16 atoms:
Na  0.096  0.146  0.206
Na  0.146  0.096  0.706
Na  0.854  0.904  0.294
Na  0.904  0.854  0.794
Tm  0.500  0.500  0.000
Tm  0.500  0.500  0.500
I  0.099  0.730  0.549
I  0.174  0.451  0.869
I  0.270  0.901  0.951
I  0.336  0.664  0.250
I  0.451  0.174  0.369
I  0.549  0.826  0.631
I  0.664  0.336  0.750
I  0.730  0.099  0.049
I  0.826  0.549  0.131
I  0.901  0.270  0.451

<2>
DFT (GGA-PBE) results for an optimized crystal structure of Na2TmI5.

Magnetization, μB/f.u.: 0.00
Symmetry: Cmcm

a b c (Å): 8.408 8.408 15.266
angles (deg): 90.00 90.00 137.40
Fractional coordinates of all 16 atoms:
Na  0.155  0.845  0.555
Na  0.155  0.845  0.945
Na  0.845  0.155  0.055
Na  0.845  0.155  0.445
Tm  0.185  0.815  0.250
Tm  0.815  0.185  0.750
I  0.048  0.952  0.120
I  0.048  0.952  0.380
I  0.287  0.713  0.750
I  0.314  0.686  0.100
I  0.314  0.686  0.400
I  0.686  0.314  0.600
I  0.686  0.314  0.900
I  0.713  0.287  0.250
I  0.952  0.048  0.620
I  0.952  0.048  0.880

Verdict on stability: <2> comes out at the bottom.

<1>
DFT (GGA-PBE) results for an optimized crystal structure of NaUI4.

Magnetization, μB/f.u.: 3.00
Symmetry: C2/m

a b c (Å): 8.027 8.027 8.078
angles (deg): 97.88 97.88 33.16
Fractional coordinates of all 6 atoms:
Na  0.000  0.000  0.000
U  0.500  0.500  0.500
I  0.120  0.120  0.381
I  0.387  0.387  0.151
I  0.613  0.613  0.849
I  0.880  0.880  0.619

<2>
DFT (GGA-PBE) results for an optimized crystal structure of NaUI4.

Magnetization, μB/f.u.: 3.00
Symmetry: I-4

a b c (Å): 7.582 7.582 7.582
angles (deg): 113.06 113.06 102.52
Fractional coordinates of all 6 atoms:
Na  0.000  0.000  0.000
U  0.750  0.250  0.500
I  0.128  0.624  0.941
I  0.376  0.317  0.505
I  0.683  0.188  0.059
I  0.812  0.872  0.495

Verdict on stability: <2> comes out at the bottom.